## NpUCoRe (PBE)

Data for a relaxed NpUCoRe crystal.

Cell lengths 6.3912, 6.3912, 6.3912 Å; angles 90.00, 90.00, 90.00 degrees
Space group F-43m (No. 216)
Asymmetric unit:
Np (0.0000, 0.0000, 0.0000) [4 per cell]
U (0.2500, 0.2500, 0.2500) [4 per cell]
Co (0.2500, 0.2500, 0.7500) [4 per cell]
Re (0.0000, 0.0000, 0.5000) [4 per cell]

Results
DFT formation energy (meV/atom): 2.3
Crystal system: cubic

---

## NaMnPb2I6 (PBE)

Data for a relaxed NaMnPb2I6 crystal.

Cell lengths 7.9326, 7.9340, 8.6924 Å; angles 62.89, 62.91, 60.01 degrees
Space group P1 (No. 1)
Asymmetric unit:
Na (0.0000, 0.0000, 0.0000) [1 per cell]
Mn (0.4943, 0.4945, 0.5169) [1 per cell]
Pb (0.3070, 0.3073, 0.0786) [1 per cell]
Pb (0.8139, 0.8139, 0.5583) [1 per cell]
I (0.1270, 0.3929, 0.7628) [1 per cell]
I (0.2505, 0.8563, 0.2902) [1 per cell]
I (0.3931, 0.7174, 0.7626) [1 per cell]
I (0.6029, 0.2506, 0.2902) [1 per cell]
I (0.7174, 0.1270, 0.7624) [1 per cell]
I (0.8561, 0.6029, 0.2903) [1 per cell]

Results
Energy relative to the elements, uncorrected (eV per atom): -0.537
Crystal system: triclinic

---

## Zn2Tc (PBE)

Data for a relaxed Zn2Tc crystal.

Cell lengths 2.6497, 2.6497, 25.5336 Å; angles 90.00, 90.00, 90.00 degrees
Space group I4_1/amd (No. 141, origin choice 2)
Asymmetric unit:
Zn (0.0000, 0.2500, 0.2952) [8 per cell]
Tc (0.0000, 0.2500, 0.8750) [4 per cell]

Results
DFT formation energy (meV/atom): 144.4
Relative energy among the computed polymorphs (eV per formula unit): 0.43
Crystal system: tetragonal

---

## Er3TmCd4 (PBE)

Data for a relaxed Er3TmCd4 crystal.

Cell lengths 18.3525, 3.5297, 7.4158 Å; angles 90.00, 112.89, 90.00 degrees
Space group C2/m (No. 12)
Asymmetric unit:
Er (0.0000, 0.0000, 0.0000) [2 per cell]
Er (0.2045, 0.0000, 0.6897) [4 per cell]
Tm (0.0000, 0.5000, 0.5000) [2 per cell]
Cd (0.1269, 0.5000, 0.3206) [4 per cell]
Cd (0.1333, 0.5000, 0.9283) [4 per cell]

Results
DFT formation energy (meV/atom): -99.7
Relative energy among the computed polymorphs (eV per formula unit): 1.73
Crystal system: monoclinic

---

## TlP (PBE)

Data for a relaxed TlP crystal.

Cell lengths 3.3513, 3.3513, 10.5833 Å; angles 90.00, 90.00, 120.00 degrees
Space group P-3m1 (No. 164)
Asymmetric unit:
Tl (0.3333, 0.6667, 0.1449) [2 per cell]
P (0.3333, 0.6667, 0.5570) [2 per cell]

Results
DFT formation energy (meV/atom): 97.2
Crystal system: trigonal

---

## AlSiB (PBE)

Data for a relaxed AlSiB crystal.

Cell lengths 3.3945, 3.3945, 4.3279 Å; angles 90.00, 90.00, 120.00 degrees
Space group P3m1 (No. 156)
Asymmetric unit:
Al (0.0000, 0.0000, 0.0000) [1 per cell]
Si (0.3333, 0.6667, 0.4228) [1 per cell]
B (0.0000, 0.0000, 0.5104) [1 per cell]

Results
Energy relative to the elements, uncorrected (eV per atom): 0.127
Relative energy among the computed polymorphs (eV per formula unit): 0.03
Crystal system: trigonal

---

## Pu2H4I3 (PBE)

Data for a relaxed Pu2H4I3 crystal.

Cell lengths 10.3980, 3.8100, 8.3907 Å; angles 90.00, 99.28, 90.00 degrees
Space group C2/m (No. 12)
Asymmetric unit:
Pu (0.1921, 0.0000, 0.2984) [4 per cell]
H (0.1195, 0.5000, 0.2029) [4 per cell]
H (0.2359, 0.0000, 0.5669) [4 per cell]
I (0.0000, 0.5000, 0.5000) [2 per cell]
I (0.1200, 0.0000, 0.8728) [4 per cell]

Results
VASP energy (eV/atom): -5.687
Crystal system: monoclinic

---

## Ca3TiIn (PBE)

Data for a relaxed Ca3TiIn crystal.

Cell lengths 5.8544, 5.8544, 5.8544 Å; angles 90.00, 90.00, 90.00 degrees
Space group Pm-3m (No. 221)
Asymmetric unit:
Ca (0.0000, 0.0000, 0.5000) [3 per cell]
Ti (0.5000, 0.5000, 0.5000) [1 per cell]
In (0.0000, 0.0000, 0.0000) [1 per cell]

Results
DFT formation energy (meV/atom): 723.9
Relative energy among the computed polymorphs (eV per formula unit): 0.10
Crystal system: cubic

---

## Na3Ca2NpO6 (PBE)

Data for a relaxed Na3Ca2NpO6 crystal.

Cell lengths 5.9380, 10.2964, 5.9015 Å; angles 90.00, 109.79, 90.00 degrees
Space group C2/m (No. 12)
Asymmetric unit:
Na (0.0000, 0.0000, 0.0000) [2 per cell]
Na (0.0000, 0.3328, 0.0000) [4 per cell]
Ca (0.0000, 0.1672, 0.5000) [4 per cell]
Np (0.0000, 0.5000, 0.5000) [2 per cell]
O (0.2255, 0.3464, 0.7161) [8 per cell]
O (0.2341, 0.5000, 0.2910) [4 per cell]

Results
Energy relative to the elements, uncorrected (eV per atom): -2.510
Crystal system: monoclinic

---

## LaNb2SiO (PBE)

Data for a relaxed LaNb2SiO crystal.

Cell lengths 4.2883, 4.2883, 4.9364 Å; angles 90.00, 90.00, 90.00 degrees
Space group P4/mmm (No. 123)
Asymmetric unit:
La (0.0000, 0.0000, 0.0000) [1 per cell]
Nb (0.0000, 0.5000, 0.5000) [2 per cell]
Si (0.5000, 0.5000, 0.0000) [1 per cell]
O (0.0000, 0.0000, 0.5000) [1 per cell]

Results
Energy relative to the elements, uncorrected (eV per atom): -0.680
Crystal system: tetragonal

---

## PaAl4Ni (PBE)

Data for a relaxed PaAl4Ni crystal.

Cell lengths 4.0767, 15.4388, 6.5823 Å; angles 90.00, 90.00, 90.00 degrees
Space group Cmcm (No. 63)
Asymmetric unit:
Pa (0.0000, 0.1135, 0.2500) [4 per cell]
Al (0.0000, 0.0777, 0.7500) [4 per cell]
Al (0.0000, 0.3118, 0.0535) [8 per cell]
Al (0.0000, 0.5000, 0.0000) [4 per cell]
Ni (0.0000, 0.2292, 0.7500) [4 per cell]

Results
DFT formation energy (meV/atom): -431.1
Crystal system: orthorhombic

---

## K2NdPaSe4 (PBE)

Data for a relaxed K2NdPaSe4 crystal.

Cell lengths 7.3995, 4.2464, 8.1462 Å; angles 90.00, 107.41, 90.00 degrees
Space group P2/m (No. 10)
Asymmetric unit:
K (0.0000, 0.0000, 0.0000) [1 per cell]
K (0.5000, 0.5000, 0.0000) [1 per cell]
Nd (0.0000, 0.5000, 0.5000) [1 per cell]
Pa (0.5000, 0.0000, 0.5000) [1 per cell]
Se (0.2464, 0.0000, 0.7130) [2 per cell]
Se (0.2700, 0.5000, 0.2890) [2 per cell]

Results
Energy relative to the elements, uncorrected (eV per atom): -1.520
Crystal system: monoclinic

---

Number 1: calculated density 18.32 g cm⁻³, total magnetization 6.6 μB/cell. Number 2: calculated density 5.17 g cm⁻³, total magnetization 4.1 μB/cell. Number 3: calculated density 8.48 g cm⁻³, total magnetization 0.0 μB/cell. Number 4: calculated density 8.41 g cm⁻³, total magnetization 0.0 μB/cell. Number 5: calculated density 7.59 g cm⁻³, total magnetization 0.0 μB/cell. Number 6: calculated density 2.53 g cm⁻³, total magnetization 0.0 μB/cell. Number 7: calculated density 8.84 g cm⁻³, total magnetization 18.0 μB/cell. Number 8: calculated density 2.34 g cm⁻³, total magnetization 0.0 μB/cell. Number 9: calculated density 4.72 g cm⁻³, total magnetization 4.0 μB/cell. Number 10: calculated density 6.75 g cm⁻³, total magnetization 0.0 μB/cell. Number 11: calculated density 6.38 g cm⁻³, total magnetization 0.0 μB/cell. Number 12: calculated density 5.23 g cm⁻³, total magnetization 1.9 μB/cell.